Entry 1:
Here is crystalline NaTbAsO at its relaxed geometry from OQMD via LeMat-Bulk. Energies are from PBE.

a b c (Å): 5.7325 5.7325 4.9569
angles (deg): 90.00 90.00 90.00
Last column: nearest neighbours and their distance in Å.
Fractional positions:
Na  0.2500  0.2500  0.0034  2 As 2.48
Na  0.7500  0.7500  0.9966  2 As 2.48
Tb  0.2500  0.7500  0.5000  2 O 2.48
Tb  0.7500  0.2500  0.5000  2 O 2.48
As  0.2500  0.2500  0.5035  2 Na 2.48
As  0.7500  0.7500  0.4965  2 Na 2.48
O  0.2500  0.7500  0.0000  2 Tb 2.48
O  0.7500  0.2500  0.0000  2 Tb 2.48

Properties
- Raw total energy: -0.3714 Ry per atom
- Volume: 20.4 Å³/atom

---

Entry 2:
Here is crystalline NaTbAsO at its relaxed geometry from OQMD via LeMat-Bulk. Energies are from PBE.

a b c (Å): 3.6189 8.1285 6.5695
angles (deg): 90.00 90.00 90.00
Last column: nearest neighbours and their distance in Å.
Fractional positions:
Na  0.0000  0.2119  0.0000  2 O 2.41
Na  0.0000  0.7881  0.5000  2 O 2.41
Tb  0.5000  0.3858  0.5878  2 O 2.13-2.14
Tb  0.5000  0.6142  0.0878  2 O 2.13-2.14
As  0.0000  0.1401  0.4455  2 Tb 2.85, 2 Na 2.88-2.98
As  0.0000  0.8599  0.9455  2 Tb 2.85, 2 Na 2.88-2.98
O  0.5000  0.3940  0.9126  2 Tb 2.13-2.14
O  0.5000  0.6060  0.4126  2 Tb 2.13-2.14

Properties
- Raw total energy: -0.3904 Ry per atom
- Volume: 24.2 Å³/atom

---

Entry 3:
Here is crystalline NaTcAsO at its relaxed geometry from OQMD via LeMat-Bulk. Energies are from PBE.

a b c (Å): 3.3556 6.4195 6.9730
angles (deg): 90.00 90.00 90.00
Last column: nearest neighbours and their distance in Å.
Fractional positions:
Na  0.0000  0.1059  0.0000  2 O 2.27-2.35
Na  0.0000  0.8941  0.5000  2 O 2.27-2.35
Tc  0.5000  0.3276  0.3856  2 O 1.94
Tc  0.5000  0.6724  0.8856  2 O 1.94
As  0.5000  0.3470  0.7251  2 Tc 2.37
As  0.5000  0.6530  0.2251  2 Tc 2.37
O  0.0000  0.1991  0.3138  2 Tc 1.94
O  0.0000  0.8009  0.8138  2 Tc 1.94

Properties
- Raw total energy: -0.4320 Ry per atom
- Volume: 18.8 Å³/atom